CdGaFeF6: optimized geometry, GGA+U.

a b c (Å): 5.5920 5.5920 9.0159
angles (deg): 90.00 90.00 120.00
Sites, in units of the cell vectors:
Cd1 0.6667 0.3333 0.7500
F1 0.3586 0.0656 0.1233
F2 0.9344 0.6414 0.3767
F3 0.9344 0.2930 0.1233
Fe1 0.0000 0.0000 0.5000
F4 0.6414 0.7070 0.6233
F5 0.2930 0.9344 0.6233
F6 0.0656 0.7070 0.8767
Cd2 0.3333 0.6667 0.2500
F7 0.7070 0.6414 0.1233
Ga1 0.3333 0.6667 0.7500
F8 0.7070 0.0656 0.3767
F9 0.3586 0.2930 0.3767
F10 0.2930 0.3586 0.8767
F11 0.0656 0.3586 0.6233
Ga2 0.6667 0.3333 0.2500
Fe2 0.0000 0.0000 0.0000
F12 0.6414 0.9344 0.8767

Computed properties:
* DFT total energy: -4.50 eV/atom
* M_tot: 7.9 μB per cell
* symmetry: P-31c, No. 163
* D(E_F): 1.3 states/eV/f.u.
* V: 244 Å³ per cell